DFT (PBE) results for an optimized crystal structure of PuTi4Se8.

Unit cell a=7.699 b=7.699 c=7.699 alpha=60.00 beta=60.00 gamma=60.00
Sites, in units of the cell vectors:
Pu  0.000  0.000  0.000
Ti  0.390  0.390  0.390
Ti  0.390  0.390  0.831
Ti  0.390  0.831  0.390
Ti  0.831  0.390  0.390
Se  0.130  0.623  0.623
Se  0.145  0.145  0.145
Se  0.145  0.145  0.566
Se  0.145  0.566  0.145
Se  0.566  0.145  0.145
Se  0.623  0.130  0.623
Se  0.623  0.623  0.130
Se  0.623  0.623  0.623

Calculated volume ... 322.7 Å³/cell
Crystal system ... cubic
Size of the total moment ... 0.203 μB per atom
DOS(E_F) ... 26.40 states/eV/cell
ΔE_f (raw) ... -1.055 eV/atom
Excess energy over the best structure of this formula in the dataset ... 168 meV/atom

=====

DFT (PBE) results for an optimized crystal structure of PuTi4Se8.

Unit cell a=7.921 b=7.921 c=7.921 alpha=54.54 beta=54.54 gamma=54.54
Sites, in units of the cell vectors:
Pu  0.000  0.000  0.000
Ti  0.000  0.000  0.500
Ti  0.000  0.500  0.000
Ti  0.500  0.000  0.000
Ti  0.500  0.500  0.500
Se  0.241  0.241  0.241
Se  0.253  0.738  0.738
Se  0.262  0.262  0.747
Se  0.262  0.747  0.262
Se  0.738  0.253  0.738
Se  0.738  0.738  0.253
Se  0.747  0.262  0.262
Se  0.759  0.759  0.759

Calculated volume ... 306.7 Å³/cell
Crystal system ... trigonal
Size of the total moment ... 0.485 μB per atom
DOS(E_F) ... 13.87 states/eV/cell
ΔE_f (raw) ... -1.223 eV/atom
Excess energy over the best structure of this formula in the dataset ... 0 meV/atom

=====

DFT (PBE) results for an optimized crystal structure of PuTi2Se4.

Unit cell a=6.437 b=6.437 c=12.969 alpha=90.00 beta=90.00 gamma=145.40
Sites, in units of the cell vectors:
Pu  0.122  0.878  0.750
Pu  0.878  0.122  0.250
Ti  0.377  0.623  0.565
Ti  0.377  0.623  0.935
Ti  0.623  0.377  0.065
Ti  0.623  0.377  0.435
Se  0.000  0.000  0.000
Se  0.000  0.000  0.500
Se  0.269  0.731  0.111
Se  0.269  0.731  0.389
Se  0.442  0.558  0.750
Se  0.558  0.442  0.250
Se  0.731  0.269  0.611
Se  0.731  0.269  0.889

Calculated volume ... 305.2 Å³/cell
Crystal system ... orthorhombic
Size of the total moment ... 1.025 μB per atom
DOS(E_F) ... 26.84 states/eV/cell
ΔE_f (raw) ... -1.192 eV/atom

=====

DFT (PBE) results for an optimized crystal structure of Pu2TiTl2Se6.

Unit cell a=6.955 b=6.955 c=8.137 alpha=98.62 beta=98.62 gamma=119.55
Sites, in units of the cell vectors:
Pu  0.167  0.833  0.000
Pu  0.833  0.167  0.000
Ti  0.500  0.500  0.000
Tl  0.327  0.673  0.500
Tl  0.673  0.327  0.500
Se  0.122  0.429  0.802
Se  0.263  0.263  0.198
Se  0.429  0.122  0.802
Se  0.571  0.878  0.198
Se  0.737  0.737  0.802
Se  0.878  0.571  0.198

Calculated volume ... 326.8 Å³/cell
Crystal system ... monoclinic
Size of the total moment ... 0.909 μB per atom
DOS(E_F) ... 21.95 states/eV/cell
ΔE_f (raw) ... -1.081 eV/atom

=====

DFT (PBE) results for an optimized crystal structure of Pu2TlSe3.

Unit cell a=4.212 b=4.212 c=22.358 alpha=90.00 beta=90.00 gamma=120.00
Sites, in units of the cell vectors:
Pu  0.333  0.667  0.078
Pu  0.333  0.667  0.422
Pu  0.667  0.333  0.578
Pu  0.667  0.333  0.922
Tl  0.000  0.000  0.250
Tl  0.000  0.000  0.750
Se  0.000  0.000  0.000
Se  0.000  0.000  0.500
Se  0.333  0.667  0.647
Se  0.333  0.667  0.853
Se  0.667  0.333  0.147
Se  0.667  0.333  0.353

Calculated volume ... 343.5 Å³/cell
Crystal system ... hexagonal
Size of the total moment ... 1.833 μB per atom
DOS(E_F) ... 40.79 states/eV/cell
ΔE_f (raw) ... -1.264 eV/atom

=====

DFT (PBE) results for an optimized crystal structure of Pu3Tl4Se8.

Unit cell a=8.494 b=8.494 c=8.550 alpha=119.77 beta=119.77 gamma=89.75
Sites, in units of the cell vectors:
Pu  0.000  0.000  0.000
Pu  0.000  0.500  0.000
Pu  0.500  0.000  0.000
Tl  0.000  0.000  0.500
Tl  0.000  0.500  0.500
Tl  0.500  0.000  0.500
Tl  0.500  0.500  0.000
Se  0.228  0.228  0.462
Se  0.237  0.763  0.000
Se  0.241  0.241  0.011
Se  0.255  0.745  0.500
Se  0.745  0.255  0.500
Se  0.759  0.759  0.989
Se  0.763  0.237  0.000
Se  0.772  0.772  0.538

Calculated volume ... 440.1 Å³/cell
Crystal system ... monoclinic
Size of the total moment ... 0.986 μB per atom
DOS(E_F) ... 39.73 states/eV/cell
ΔE_f (raw) ... -0.790 eV/atom
Excess energy over the best structure of this formula in the dataset ... 100 meV/atom